No. 1
Computed, not measured: a relaxed La2InRuPb crystal at the PBE-GGA level of DFT.

For the volume, the calculation gives 31.149 Å³/atom. As for the formation energy: -0.33 eV/atom.

The structure belongs to space group P4/mmm (No. 123); the cell edges are 5.415, 5.415 and 5.311 Å and the angles 90.00°, 90.00° and 90.00°. The inequivalent atoms are La at (0.000, 0.500, 0.000), In at (0.000, 0.000, 0.500), Ru at (0.500, 0.500, 0.000) and Pb at (0.500, 0.500, 0.500).


No. 2
Computed, not measured: a relaxed LaIn4PbS8 crystal at the PBE-GGA level of DFT.

For the volume, the calculation gives 27.206 Å³/atom. As for the uncorrected formation energy: -0.75 eV/atom.

The structure belongs to space group R3m (No. 160, hexagonal axes); the cell edges are 7.9399, 7.9399 and 20.9292 Å and the angles 90.00°, 90.00° and 120.00°. The inequivalent atoms are La at (0.0000, 0.0000, 0.0000), In at (0.0000, 0.0000, 0.6251), In at (0.1670, 0.3340, 0.8328), Pb at (0.0000, 0.0000, 0.3709), S at (0.0000, 0.0000, 0.2284), S at (0.0000, 0.0000, 0.7661), S at (0.0262, 0.5131, 0.7608) and S at (0.1747, 0.3494, 0.5735).


No. 3
Computed, not measured: a relaxed LaIn2PbS4 crystal at the PBE-GGA level of DFT.

For the volume, the calculation gives 26.867 Å³/atom. As for the uncorrected formation energy: -0.89 eV/atom.

The structure belongs to space group P2/m (No. 10); the cell edges are 7.360, 4.192 and 7.373 Å and the angles 90.00°, 109.13° and 90.00°. The inequivalent atoms are La at (0.000, 0.000, 0.000), In at (0.500, 0.000, 0.500), In at (0.500, 0.500, 0.000), Pb at (0.000, 0.500, 0.500), S at (0.233, 0.500, 0.227) and S at (0.248, 0.000, 0.766).


No. 4
Computed, not measured: a relaxed LaInSb2Pb crystal at the PBE-GGA level of DFT.

For the volume, the calculation gives 45.287 Å³/atom. As for the uncorrected formation energy: 0.38 eV/atom.

The structure belongs to space group P4/mmm (No. 123); the cell edges are 6.058, 6.058 and 6.169 Å and the angles 90.00°, 90.00° and 90.00°. The inequivalent atoms are La at (0.000, 0.000, 0.000), In at (0.500, 0.500, 0.500), Sb at (0.000, 0.500, 0.000) and Pb at (0.000, 0.000, 0.500).


No. 5
Computed, not measured: a relaxed LaInSnPb crystal at the PBE-GGA level of DFT.

For the volume, the calculation gives 28.544 Å³/atom. As for the formation energy: -0.51 eV/atom.

The structure belongs to space group Pmmm (No. 47); the cell edges are 4.829, 4.859 and 4.866 Å and the angles 90.00°, 90.00° and 90.00°. The inequivalent atoms are La at (0.000, 0.000, 0.000), In at (0.500, 0.500, 0.000), Sn at (0.500, 0.000, 0.500) and Pb at (0.000, 0.500, 0.500).


No. 6
Computed, not measured: a relaxed La2InTcPb crystal at the PBE-GGA level of DFT.

For the volume, the calculation gives 36.883 Å³/atom. As for the formation energy: 0.70 eV/atom.

The structure belongs to space group P4/mmm (No. 123); the cell edges are 6.041, 6.041 and 5.054 Å and the angles 90.00°, 90.00° and 90.00°. The inequivalent atoms are La at (0.000, 0.500, 0.000), In at (0.000, 0.000, 0.500), Tc at (0.500, 0.500, 0.500) and Pb at (0.500, 0.500, 0.000).


No. 7
Computed, not measured: a relaxed La6InTe3Pb2 crystal at the PBE-GGA level of DFT.

For the volume, the calculation gives 35.283 Å³/atom. As for the uncorrected formation energy: -1.05 eV/atom.

The structure belongs to space group C2/m (No. 12); the cell edges are 20.393, 4.626 and 9.321 Å and the angles 90.00°, 105.64° and 90.00°. The inequivalent atoms are La at (0.001, 0.000, 0.248), La at (0.167, 0.500, 0.583), La at (0.168, 0.500, 0.077), In at (0.000, 0.500, 0.500), Te at (0.000, 0.500, 0.000), Te at (0.168, 0.000, 0.330) and Pb at (0.165, 0.000, 0.828).


No. 8
Computed, not measured: a relaxed La4InTe2Pb crystal at the PBE-GGA level of DFT.

For the volume, the calculation gives 35.113 Å³/atom. As for the uncorrected formation energy: -1.02 eV/atom.

The structure belongs to space group P2/m (No. 10); the cell edges are 7.758, 4.599 and 8.327 Å and the angles 90.00°, 108.98° and 90.00°. The inequivalent atoms are La at (0.248, 0.000, 0.250), La at (0.249, 0.500, 0.746), In at (0.500, 0.000, 0.000), Te at (0.000, 0.000, 0.500), Te at (0.500, 0.500, 0.500) and Pb at (0.000, 0.500, 0.000).


| no. | E_tot (eV/atom) |
| --- | --- |
| 1 | -5.443 |
| 2 | -4.511 |
| 3 | -4.717 |
| 4 | -3.547 |
| 5 | -4.354 |
| 6 | -4.633 |
| 7 | -5.148 |
| 8 | -5.079 |